ZnP2Ir, relaxed, DFT PBE; formation energy from the elements = 152 meV per atom; space-group type = No. 123; V = 59.43 Å³ per cell
1.0
2.9166 0.0000 0.0000
0.0000 2.9166 0.0000
0.0000 0.0000 6.9868
Zn P Ir
1 2 1
Cartesian
0.0000 0.0000 0.0000
1.4583 1.4583 1.9303
1.4583 1.4583 5.0566
0.0000 0.0000 3.4934

ZnPIr3, relaxed, DFT PBE; formation energy from the elements = 442 meV per atom; space-group type = No. 221; ΔE to the lowest computed polymorph = 0 meV per atom; V = 84.50 Å³ per cell
1.0
4.3881 0.0000 0.0000
0.0000 4.3881 0.0000
0.0000 0.0000 4.3881
Zn P Ir
1 1 3
Cartesian
0.0000 0.0000 0.0000
2.1941 2.1941 2.1941
0.0000 2.1941 2.1941
2.1941 0.0000 2.1941
2.1941 2.1941 0.0000

ZnP2Ir, relaxed, DFT PBE; formation energy from the elements = -151 meV per atom; space-group type = No. 10; V = 82.16 Å³ per cell
1.0
4.7643 0.0000 0.0000
0.0000 3.8015 0.0000
-1.9786 0.0000 4.5363
Zn P Ir
1 2 1
Cartesian
0.0000 0.0000 0.0000
0.3593 1.9008 2.4546
2.4264 1.9008 2.0816
-0.9893 0.0000 2.2681

ZnP2Ir, relaxed, DFT PBE; formation energy from the elements = -59 meV per atom; space-group type = No. 166; V = 195.41 Å³ per cell
1.0
3.5247 0.0000 0.0000
-1.7624 3.0525 0.0000
0.0000 0.0000 18.1625
Zn P Ir
3 6 3
Cartesian
0.0000 0.0000 0.0000
0.0000 2.0350 12.1083
1.7624 1.0175 6.0542
0.0000 0.0000 4.3367
0.0000 0.0000 13.8258
0.0000 2.0350 7.7716
0.0000 2.0350 16.4450
1.7624 1.0175 1.7175
1.7624 1.0175 10.3909
0.0000 0.0000 9.0812
0.0000 2.0350 3.0271
1.7624 1.0175 15.1354

ZnP2Ir, relaxed, DFT PBE; formation energy from the elements = 94 meV per atom; space-group type = No. 99; V = 63.06 Å³ per cell
1.0
2.8386 0.0000 0.0000
0.0000 2.8386 0.0000
0.0000 0.0000 7.8269
Zn P Ir
1 2 1
Cartesian
0.0000 0.0000 0.0000
0.0000 0.0000 3.3513
1.4193 1.4193 6.0249
1.4193 1.4193 1.9893

ZnPIr, relaxed, DFT PBE; formation energy from the elements = -83 meV per atom; space-group type = No. 216; V = 194.44 Å³ per cell
1.0
5.7934 0.0000 0.0000
0.0000 5.7934 0.0000
0.0000 0.0000 5.7934
Zn P Ir
4 4 4
Cartesian
0.0000 0.0000 0.0000
0.0000 2.8967 2.8967
2.8967 0.0000 2.8967
2.8967 2.8967 0.0000
0.0000 0.0000 2.8967
0.0000 2.8967 0.0000
2.8967 0.0000 0.0000
2.8967 2.8967 2.8967
1.4483 1.4483 1.4483
1.4483 4.3450 4.3450
4.3450 1.4483 4.3450
4.3450 4.3450 1.4483

ZnP2Ir2, relaxed, DFT PBE; formation energy from the elements = -50 meV per atom; space-group type = No. 139; V = 159.08 Å³ per cell
1.0
3.7635 0.0000 0.0000
0.0000 3.7635 0.0000
0.0000 0.0000 11.2313
Zn P Ir
2 4 4
Cartesian
0.0000 0.0000 0.0000
1.8817 1.8817 5.6156
0.0000 1.8817 2.8078
0.0000 1.8817 8.4234
1.8817 0.0000 2.8078
1.8817 0.0000 8.4234
0.0000 0.0000 4.2124
0.0000 0.0000 7.0189
1.8817 1.8817 1.4032
1.8817 1.8817 9.8280

Zn4PIr, relaxed, DFT PBE; formation energy from the elements = 178 meV per atom; space-group type = No. 216; V = 86.84 Å³ per cell
1.0
0.0000 3.5148 3.5148
3.5148 0.0000 3.5148
3.5148 3.5148 0.0000
Zn P Ir
4 1 1
Cartesian
0.8750 0.8750 0.8750
2.6397 2.6397 0.8750
2.6397 0.8750 2.6397
0.8750 2.6397 2.6397
3.5148 3.5148 3.5148
5.2722 5.2722 5.2722

Question: Look up the formation energy from the elements of the first one.
Answer: 152 meV per atom

Question: Look up the V of the eighth one.
Answer: 86.84 Å³ per cell